# BaCu6Ge2, relaxed, DFT GGA-PBE
# density of states at the Fermi level	2.809	states/eV/cell
# electronic total energy	-4.101	eV per atom
# volume	152	Å³/f.u.
data_BaCu6Ge2
_cell_length_a 4.363
_cell_length_b 4.363
_cell_length_c 8.011
_cell_angle_alpha 90.00
_cell_angle_beta 90.00
_cell_angle_gamma 90.00
_space_group_name_H-M_alt 'P 4/m m m'
_space_group_IT_number 123
_space_group_name_Hall '-P 4 2'
loop_
_atom_site_label
_atom_site_type_symbol
_atom_site_fract_x
_atom_site_fract_y
_atom_site_fract_z
Ba1 Ba 0.000 0.000 0.000
Cu1 Cu 0.000 0.000 0.500
Cu2 Cu 0.000 0.500 0.334
Cu3 Cu 0.500 0.500 0.500
Ge1 Ge 0.500 0.500 0.184

# BaCuGe3, relaxed, DFT GGA-PBE
# density of states at the Fermi level	5.313	states/eV/cell
# electronic total energy	-4.063	eV per atom
# volume	119	Å³/f.u.
data_BaCuGe3
_cell_length_a 7.0793
_cell_length_b 7.0793
_cell_length_c 5.4706
_cell_angle_alpha 90.00
_cell_angle_beta 90.00
_cell_angle_gamma 120.00
_space_group_name_H-M_alt 'P 63/m m c'
_space_group_IT_number 194
_space_group_name_Hall '-P 6c 2c'
loop_
_atom_site_label
_atom_site_type_symbol
_atom_site_fract_x
_atom_site_fract_y
_atom_site_fract_z
Ba1 Ba 0.3333 0.6667 0.2500
Cu1 Cu 0.0000 0.0000 0.0000
Ge1 Ge 0.1691 0.3381 0.7500

# BaCu4Ge2, relaxed, DFT GGA-PBE
# density of states at the Fermi level	6.970	states/eV/cell
# electronic total energy	-4.109	eV per atom
# energy relative to the lowest polymorph listed for this composition	0.0	meV per atom
# volume	130	Å³/f.u.
data_BaCu4Ge2
_cell_length_a 4.301
_cell_length_b 13.846
_cell_length_c 4.363
_cell_angle_alpha 90.00
_cell_angle_beta 90.00
_cell_angle_gamma 90.00
_space_group_name_H-M_alt 'C m m m'
_space_group_IT_number 65
_space_group_name_Hall '-C 2 2'
loop_
_atom_site_label
_atom_site_type_symbol
_atom_site_fract_x
_atom_site_fract_y
_atom_site_fract_z
Ba1 Ba 0.000 0.000 0.000
Cu1 Cu 0.000 0.199 0.500
Cu2 Cu 0.000 0.302 0.000
Ge1 Ge 0.000 0.387 0.500

# BaCu4Ge2, relaxed, DFT GGA-PBE
# density of states at the Fermi level	14.651	states/eV/cell
# electronic total energy	-4.097	eV per atom
# energy relative to the lowest polymorph listed for this composition	12.1	meV per atom
# volume	123	Å³/f.u.
data_BaCu4Ge2
_cell_length_a 8.158
_cell_length_b 8.158
_cell_length_c 7.397
_cell_angle_alpha 90.00
_cell_angle_beta 90.00
_cell_angle_gamma 90.00
_space_group_name_H-M_alt 'I 4/m c m'
_space_group_IT_number 140
_space_group_name_Hall '-I 4 2c'
loop_
_atom_site_label
_atom_site_type_symbol
_atom_site_fract_x
_atom_site_fract_y
_atom_site_fract_z
Ba1 Ba 0.000 0.000 0.250
Cu1 Cu 0.140 0.360 0.163
Ge1 Ge 0.154 0.346 0.500

# BaCuGe3, relaxed, DFT GGA-PBE
# density of states at the Fermi level	2.894	states/eV/cell
# electronic total energy	-3.953	eV per atom
# volume	120	Å³/f.u.
data_BaCuGe3
_cell_length_a 4.934
_cell_length_b 4.934
_cell_length_c 4.934
_cell_angle_alpha 90.00
_cell_angle_beta 90.00
_cell_angle_gamma 90.00
_space_group_name_H-M_alt 'P m -3 m'
_space_group_IT_number 221
_space_group_name_Hall '-P 4 2 3'
loop_
_atom_site_label
_atom_site_type_symbol
_atom_site_fract_x
_atom_site_fract_y
_atom_site_fract_z
Ba1 Ba 0.000 0.000 0.000
Cu1 Cu 0.500 0.500 0.500
Ge1 Ge 0.000 0.500 0.500

# BaCu6Ge3, relaxed, DFT GGA-PBE
# density of states at the Fermi level	6.039	states/eV/cell
# electronic total energy	-4.028	eV per atom
# volume	175	Å³/f.u.
data_BaCu6Ge3
_cell_length_a 6.646
_cell_length_b 7.194
_cell_length_c 8.332
_cell_angle_alpha 90.00
_cell_angle_beta 118.67
_cell_angle_gamma 90.00
_space_group_name_H-M_alt 'P 1 21/c 1'
_space_group_IT_number 14
_space_group_name_Hall '-P 2ybc'
loop_
_atom_site_label
_atom_site_type_symbol
_atom_site_fract_x
_atom_site_fract_y
_atom_site_fract_z
Ba1 Ba 0.000 0.000 0.000
Cu1 Cu 0.172 0.049 0.657
Cu2 Cu 0.292 0.201 0.405
Cu3 Cu 0.461 0.744 0.257
Ge1 Ge 0.254 0.628 0.936
Ge2 Ge 0.500 0.000 0.000

# Ba3Cu2Ge9, relaxed, DFT GGA-PBE
# density of states at the Fermi level	9.129	states/eV/cell
# electronic total energy	-4.192	eV per atom
# volume	338	Å³/f.u.
data_Ba3Cu2Ge9
_cell_length_a 4.221
_cell_length_b 11.198
_cell_length_c 14.300
_cell_angle_alpha 90.00
_cell_angle_beta 90.00
_cell_angle_gamma 90.00
_space_group_name_H-M_alt 'I m m m'
_space_group_IT_number 71
_space_group_name_Hall '-I 2 2'
loop_
_atom_site_label
_atom_site_type_symbol
_atom_site_fract_x
_atom_site_fract_y
_atom_site_fract_z
Ba1 Ba 0.000 0.000 0.000
Ba2 Ba 0.000 0.000 0.270
Cu1 Cu 0.000 0.122 0.500
Ge1 Ge 0.000 0.311 0.141
Ge2 Ge 0.000 0.311 0.398
Ge3 Ge 0.000 0.500 0.000

# Ba3Cu2Ge4, relaxed, DFT GGA-PBE
# density of states at the Fermi level	11.835	states/eV/cell
# electronic total energy	-4.058	eV per atom
# volume	246	Å³/f.u.
data_Ba3Cu2Ge4
_cell_length_a 12.547
_cell_length_b 4.345
_cell_length_c 9.021
_cell_angle_alpha 90.00
_cell_angle_beta 93.03
_cell_angle_gamma 90.00
_space_group_name_H-M_alt 'C 1 2/m 1'
_space_group_IT_number 12
_space_group_name_Hall '-C 2y'
loop_
_atom_site_label
_atom_site_type_symbol
_atom_site_fract_x
_atom_site_fract_y
_atom_site_fract_z
Ba1 Ba 0.000 0.000 0.000
Ba2 Ba 0.165 0.500 0.665
Cu1 Cu 0.108 0.500 0.282
Ge1 Ge 0.056 0.000 0.385
Ge2 Ge 0.219 0.500 0.066

# BaCu2GeH, relaxed, DFT GGA-PBE
# density of states at the Fermi level	8.922	states/eV/cell
# electronic total energy	-3.867	eV per atom
# volume	86	Å³/f.u.
data_BaCu2GeH
_cell_length_a 4.247
_cell_length_b 11.745
_cell_length_c 6.921
_cell_angle_alpha 90.00
_cell_angle_beta 90.00
_cell_angle_gamma 90.00
_space_group_name_H-M_alt 'C m c m'
_space_group_IT_number 63
_space_group_name_Hall '-C 2c 2'
loop_
_atom_site_label
_atom_site_type_symbol
_atom_site_fract_x
_atom_site_fract_y
_atom_site_fract_z
Ba1 Ba 0.000 0.059 0.250
Cu1 Cu 0.000 0.332 0.067
Ge1 Ge 0.000 0.223 0.750
H1 H 0.000 0.500 0.000

# Ba2CuHgGe, relaxed, DFT GGA-PBE
# density of states at the Fermi level	3.524	states/eV/cell
# electronic total energy	-2.863	eV per atom
# volume	175	Å³/f.u.
data_Ba2CuHgGe
_cell_length_a 6.221
_cell_length_b 6.221
_cell_length_c 4.513
_cell_angle_alpha 90.00
_cell_angle_beta 90.00
_cell_angle_gamma 90.00
_space_group_name_H-M_alt 'P 4/m m m'
_space_group_IT_number 123
_space_group_name_Hall '-P 4 2'
loop_
_atom_site_label
_atom_site_type_symbol
_atom_site_fract_x
_atom_site_fract_y
_atom_site_fract_z
Ba1 Ba 0.000 0.500 0.000
Cu1 Cu 0.000 0.000 0.000
Hg1 Hg 0.500 0.500 0.500
Ge1 Ge 0.000 0.000 0.500

# BaIn2CuGe, relaxed, DFT GGA-PBE
# density of states at the Fermi level	6.852	states/eV/cell
# electronic total energy	-1.920	eV per atom
# volume	245	Å³/f.u.
data_BaIn2CuGe
_cell_length_a 6.537
_cell_length_b 6.537
_cell_length_c 5.732
_cell_angle_alpha 90.00
_cell_angle_beta 90.00
_cell_angle_gamma 90.00
_space_group_name_H-M_alt 'P 4/m m m'
_space_group_IT_number 123
_space_group_name_Hall '-P 4 2'
loop_
_atom_site_label
_atom_site_type_symbol
_atom_site_fract_x
_atom_site_fract_y
_atom_site_fract_z
Ba1 Ba 0.000 0.000 0.000
In1 In 0.000 0.500 0.000
Cu1 Cu 0.500 0.500 0.500
Ge1 Ge 0.000 0.000 0.500

# BaLaCuGe, relaxed, DFT GGA-PBE
# density of states at the Fermi level	4.742	states/eV/cell
# electronic total energy	-4.186	eV per atom
# volume	114	Å³/f.u.
data_BaLaCuGe
_cell_length_a 7.706
_cell_length_b 7.706
_cell_length_c 7.706
_cell_angle_alpha 90.00
_cell_angle_beta 90.00
_cell_angle_gamma 90.00
_space_group_name_H-M_alt 'F -4 3 m'
_space_group_IT_number 216
_space_group_name_Hall 'F -4 2 3'
loop_
_atom_site_label
_atom_site_type_symbol
_atom_site_fract_x
_atom_site_fract_y
_atom_site_fract_z
Ba1 Ba 0.000 0.000 0.000
La1 La 0.000 0.000 0.500
Cu1 Cu 0.250 0.250 0.750
Ge1 Ge 0.250 0.250 0.250

Copy entry 2 word for word.
# BaCuGe3, relaxed, DFT GGA-PBE
# density of states at the Fermi level	5.313	states/eV/cell
# electronic total energy	-4.063	eV per atom
# volume	119	Å³/f.u.
data_BaCuGe3
_cell_length_a 7.0793
_cell_length_b 7.0793
_cell_length_c 5.4706
_cell_angle_alpha 90.00
_cell_angle_beta 90.00
_cell_angle_gamma 120.00
_space_group_name_H-M_alt 'P 63/m m c'
_space_group_IT_number 194
_space_group_name_Hall '-P 6c 2c'
loop_
_atom_site_label
_atom_site_type_symbol
_atom_site_fract_x
_atom_site_fract_y
_atom_site_fract_z
Ba1 Ba 0.3333 0.6667 0.2500
Cu1 Cu 0.0000 0.0000 0.0000
Ge1 Ge 0.1691 0.3381 0.7500

Q: Which value of density of states at the Fermi level does entry 9 give?
A: 8.922 states/eV/cell

Q: The highest density of states at the Fermi level belongs to which entry?
A: number 4